## Ba3Ni (GGA-PBE)

Data for a relaxed structure of Ba3Ni.

Results
For the formation energy, the calculation gives 0.0480 eV/atom. The total magnetization comes out at 0.00 μB/f.u. The calculation puts the mass density at 3.92 g cm⁻³.

```
4
Lattice="3.232 -6.902 0.000 3.232 6.902 0.000 0.000 0.000 4.475" Properties=species:S:1:pos:R:3 pbc="T T T"
Ba 0.000 0.000 0.000
Ba 3.232 2.075 2.237
Ba 3.232 -2.075 2.237
Ni 3.232 0.000 0.000
```

=====

## Sn2Sb2Au (GGA-PBE)

Data for a relaxed structure of Sn2Sb2Au.

Results
The total magnetization comes out at 0.00 μB/f.u. The calculation puts the mass density at 8.12 g cm⁻³. For the raw formation energy, the calculation gives 284 meV per atom.

```
5
Lattice="-2.070 2.070 8.087 2.070 -2.070 8.087 2.070 2.070 -8.087" Properties=species:S:1:pos:R:3 pbc="T T T"
Sn 2.070 0.000 4.043
Sn 0.000 2.070 4.043
Sb 0.000 0.000 1.424
Sb 0.000 0.000 14.749
Au 0.000 0.000 8.087
```